Entry 1:
An optimized crystal structure of TaTe2P. Source: Alexandria via LeMat-Bulk, functional PBE-GGA.

a b c (Å): 3.4169 3.4169 29.4972
angles (deg): 90.00 90.00 120.00
Space group R3m (No. 160, hexagonal axes)
Inequivalent atoms, fractional coordinates:
Ta 0.0000 0.0000 0.0000 [3 per cell]
Te 0.0000 0.0000 0.5251 [3 per cell]
Te 0.0000 0.0000 0.7361 [3 per cell]
P 0.0000 0.0000 0.2826 [3 per cell]

Output
Its formation energy (no corrections) is -0.1013 eV per atom. The value obtained for the calculated total energy is -71.9 eV for the cell shown. For the density of states at the Fermi level, the calculation gives 0.562 states/eV per atom.

Entry 2:
An optimized crystal structure of MgInHg. Source: Alexandria via LeMat-Bulk, functional PBE-GGA.

a b c (Å): 3.502 3.502 11.626
angles (deg): 90.00 90.00 90.00
Space group I4mm (No. 107)
Inequivalent atoms, fractional coordinates:
Mg 0.000 0.000 0.000 [2 per cell]
In 0.000 0.000 0.325 [2 per cell]
Hg 0.000 0.000 0.647 [2 per cell]

Output
The value obtained for the energy relative to the elements is -0.09 eV/atom. The value obtained for the calculated total energy is -9.8 eV for the cell shown. For the density of states at the Fermi level, the calculation gives 0.320 states/eV per atom.